This record from the Alexandria database describes an optimized crystal structure of Tb7Pm3Sc. The functional is PBE.

Summary:
Symmetry: C2/m (12)
Relative energy among the computed polymorphs in eV per atom: 0.000
Energy of formation in eV/atom: 0.1559

```
Tb7Pm3Sc
1.0
0.627 8.967 4.027
-6.716 -7.107 -1.191
9.212 -6.442 6.882
Tb Pm Sc
14 6 2
Cartesian
-3.794 -7.352 0.982
0.822 -10.573 4.406
1.981 -5.438 3.591
-2.625 -2.211 0.140
3.409 -7.492 7.917
-1.198 -4.269 4.464
3.873 -3.905 6.579
-0.750 -0.677 3.140
-0.285 2.910 1.802
4.322 -0.313 5.255
5.748 -2.371 9.579
1.143 0.856 6.127
2.301 5.991 5.313
6.918 2.770 8.737
3.557 -8.382 4.573
0.000 0.000 0.000
4.606 -3.221 3.441
-4.100 -4.224 2.541
7.223 -0.357 7.178
-0.434 3.800 5.145
-3.044 0.930 1.418
1.562 -2.291 4.859
```